Entry 1:
Computed, not measured: an optimized crystal structure of Mg2GaGe at the PBE level of DFT.

```
Mg2GaGe
1.0
5.295 0.000 0.000
0.000 4.028 0.000
-1.896 0.000 7.624
Mg Ga Ge
4 2 2
Cartesian
0.211 1.007 3.269
1.427 3.021 0.526
1.971 1.007 7.099
3.188 3.021 4.355
0.684 3.021 5.366
2.715 1.007 2.259
-0.779 1.007 6.060
4.178 3.021 1.564
```

## Properties
DFT formation energy, eV/atom: -0.15
Spin magnetization, μB per formula unit: 0.00
V, Å³/cell: 162.60

***

Entry 2:
Computed, not measured: an optimized crystal structure of Dy2Ga3Ge2 at the PBE level of DFT.

```
Dy2Ga3Ge2
1.0
4.598 0.000 0.000
0.000 3.309 0.000
-2.249 0.000 9.510
Dy Ga Ge
2 3 2
Cartesian
0.015 0.000 2.721
2.334 0.000 6.788
0.000 1.654 0.000
0.027 1.654 5.369
2.322 1.654 4.141
0.044 1.654 7.985
2.305 1.654 1.524
```

## Properties
DFT formation energy, eV/atom: -0.44
Spin magnetization, μB per formula unit: 0.00
V, Å³/cell: 144.68

***

Entry 3:
Computed, not measured: an optimized crystal structure of Tb2Dy9Er at the PBE level of DFT.

```
Tb2Dy9Er
1.0
11.167 0.000 0.000
-5.584 9.671 0.000
0.000 0.000 3.476
Tb Dy Er
2 9 1
Cartesian
0.000 6.447 0.000
5.584 3.224 0.000
-2.792 4.836 0.000
0.000 3.385 1.738
-2.652 7.979 1.738
2.931 1.692 1.738
5.584 0.000 0.000
2.792 4.836 0.000
2.652 7.979 1.738
8.236 1.692 1.738
5.584 6.286 1.738
0.000 0.000 0.000
```

## Properties
DFT formation energy, eV/atom: 0.06
Spin magnetization, μB per formula unit: 0.00
V, Å³/cell: 375.44

***

Entry 4:
Computed, not measured: an optimized crystal structure of SmPbN at the PBE level of DFT.

```
SmPbN
1.0
0.000 5.988 8.211
3.076 0.000 8.211
3.076 5.988 0.000
Sm Pb N
4 4 4
Cartesian
2.307 0.579 6.158
3.845 3.573 10.264
2.307 8.402 6.158
3.845 11.396 10.264
2.307 4.491 4.678
2.307 4.491 7.638
3.845 7.485 8.784
3.845 7.485 11.744
0.000 0.000 0.000
1.538 2.994 0.000
1.538 0.000 4.106
0.000 2.994 4.106
```

## Properties
Spin magnetization, μB per formula unit: 0.13
Formation energy without anion corrections, eV per atom: 0.15
V, Å³/cell: 302.48

***

Entry 5:
Computed, not measured: an optimized crystal structure of AcH3Pd3 at the PBE level of DFT.

```
AcH3Pd3
1.0
5.698 0.000 0.000
0.000 5.698 0.000
0.000 0.000 5.698
Ac H Pd
2 6 6
Cartesian
0.000 0.000 0.000
2.849 2.849 2.849
0.000 1.424 2.849
0.000 4.273 2.849
1.424 2.849 0.000
2.849 0.000 1.424
2.849 0.000 4.273
4.273 2.849 0.000
0.000 2.849 1.424
0.000 2.849 4.273
1.424 0.000 2.849
2.849 1.424 0.000
2.849 4.273 0.000
4.273 0.000 2.849
```

## Properties
Spin magnetization, μB per formula unit: 0.00
DFT total energy, eV per cell: -65.77
V, Å³/cell: 184.99

***

Entry 6:
Computed, not measured: an optimized crystal structure of Ca3Sn3Pd at the PBE level of DFT.

```
Ca3Sn3Pd
1.0
5.641 -2.346 0.000
5.641 2.346 0.000
-5.021 0.000 14.476
Ca Sn Pd
6 6 2
Cartesian
-1.586 0.000 5.569
-3.520 0.000 13.304
1.513 0.000 3.412
4.748 0.000 11.064
9.781 0.000 1.172
7.847 0.000 8.907
1.713 0.000 6.660
-0.318 0.000 13.358
1.473 0.000 11.026
4.788 0.000 3.449
6.579 0.000 1.118
4.548 0.000 7.816
-0.166 0.000 8.803
6.427 0.000 5.673
```

## Properties
DFT formation energy, eV/atom: -0.72
Spin magnetization, μB per formula unit: 0.00
V, Å³/cell: 383.20

***

Which value of V does entry 6 give?
383.20 Å³/cell

***

The lowest V belongs to which entry?
Dy2Ga3Ge2

***

Among the records above, which one has the highest spin magnetization?
SmPbN